Material: Be2InNi
Method: DFT, PBE-GGA
State: optimized geometry

a b c (Å): 2.8669 3.0210 5.7004
angles (deg): 90.00 90.00 90.00
Last column: nearest neighbours and their distance in Å.
Atoms (fractional coordinates):
Be  0.0000  0.0000  0.1817  1 Be 2.07
Be  0.0000  0.0000  0.8183  1 Be 2.07
In  0.5000  0.5000  0.5000  8 Be 2.76, 2 Ni 2.85, 4 In 2.87-3.02
Ni  0.5000  0.5000  0.0000  8 Be 2.33

As for the relative energy among the computed polymorphs: 0.000 eV/atom. The symmetry is Pmmm, No. 47. As for the calculated total energy: -15.77 eV/f.u. For the energy of formation from the pure elements, the calculation gives 0.05 eV per atom. The calculation puts the total magnetization at 0.000 μB per formula unit.

---

Material: BaLiZrS3
Method: DFT, PBE-GGA
State: optimized geometry

a b c (Å): 7.1735 7.1735 7.6812
angles (deg): 112.37 112.37 69.90
Last column: nearest neighbours and their distance in Å.
Atoms (fractional coordinates):
Ba  0.2079  0.2079  0.1711  5 S 3.18-3.23
Ba  0.7921  0.7921  0.8289  5 S 3.18-3.23
Li  0.1644  0.8356  0.5000  4 S 2.43-2.54, 1 Li 2.70
Li  0.8356  0.1644  0.5000  4 S 2.43-2.54, 1 Li 2.70
Zr  0.4355  0.4355  0.7769  3 S 2.39-2.45
Zr  0.5645  0.5645  0.2231  3 S 2.39-2.45
S  0.1973  0.6609  0.1697  1 Zr 2.39, 1 Li 2.43
S  0.2012  0.2012  0.5803  1 Zr 2.45, 2 Li 2.54
S  0.3391  0.8027  0.8303  1 Zr 2.39, 1 Li 2.43
S  0.6609  0.1973  0.1697  1 Zr 2.39, 1 Li 2.43
S  0.7988  0.7988  0.4197  1 Zr 2.45, 2 Li 2.54
S  0.8027  0.3391  0.8303  1 Zr 2.39, 1 Li 2.43

The symmetry is C2/m, No. 12. As for the calculated total energy: -33.18 eV/f.u. For the energy relative to the elements, uncorrected, the calculation gives -1.403 eV/atom. The calculation puts the total magnetization at 0.000 μB per formula unit.

---

Material: LaPm2Si6
Method: DFT, PBE-GGA
State: optimized geometry

a b c (Å): 7.7361 7.7361 7.7361
angles (deg): 150.77 112.80 74.91
Last column: nearest neighbours and their distance in Å.
Atoms (fractional coordinates):
La  0.0000  0.0000  0.0000  4 Si 3.19
Pm  0.3647  0.8647  0.5000  10 Si 2.93-3.11
Pm  0.6353  0.1353  0.5000  10 Si 2.93-3.11
Si  0.0419  0.3107  0.7312  3 Si 2.39-2.48
Si  0.2941  0.5000  0.7941  2 Si 2.39
Si  0.4205  0.6893  0.7312  3 Si 2.39-2.48
Si  0.5795  0.3107  0.2688  3 Si 2.39-2.48
Si  0.7059  0.5000  0.2059  2 Si 2.39
Si  0.9581  0.6893  0.2688  3 Si 2.39-2.48

As for the relative energy among the computed polymorphs: 0.231 eV/atom. The symmetry is Immm, No. 71. As for the calculated total energy: -50.29 eV/f.u. For the energy relative to the elements, uncorrected, the calculation gives -0.369 eV/atom. The calculation puts the total magnetization at 0.000 μB per formula unit.

---

Material: La3F8
Method: DFT, PBE-GGA
State: optimized geometry

a b c (Å): 5.7722 5.7722 5.7722
angles (deg): 90.00 90.00 90.00
Last column: nearest neighbours and their distance in Å.
Atoms (fractional coordinates):
La  0.0000  0.0000  0.5000  8 F 2.49
La  0.0000  0.5000  0.0000  8 F 2.49
La  0.5000  0.0000  0.0000  8 F 2.49
F  0.2458  0.2458  0.2458  3 La 2.49
F  0.2458  0.2458  0.7542  3 La 2.49
F  0.2458  0.7542  0.2458  3 La 2.49
F  0.2458  0.7542  0.7542  3 La 2.49
F  0.7542  0.2458  0.2458  3 La 2.49
F  0.7542  0.2458  0.7542  3 La 2.49
F  0.7542  0.7542  0.2458  3 La 2.49
F  0.7542  0.7542  0.7542  3 La 2.49

The symmetry is Pm-3m, No. 221. As for the calculated total energy: -72.95 eV/f.u. For the energy relative to the elements, uncorrected, the calculation gives -3.927 eV/atom. The calculation puts the total magnetization at 1.133 μB per formula unit.

---

Material: Re2HgW
Method: DFT, PBE-GGA
State: optimized geometry

a b c (Å): 2.8688 2.8688 8.1249
angles (deg): 90.00 90.00 90.00
Last column: nearest neighbours and their distance in Å.
Atoms (fractional coordinates):
Re  0.0000  0.0000  0.2275  4 W 2.74, 4 Re 2.87, 4 Hg 3.00
Re  0.0000  0.0000  0.7725  4 W 2.74, 4 Re 2.87, 4 Hg 3.00
Hg  0.5000  0.5000  0.5000  4 Hg 2.87, 8 Re 3.00
W  0.5000  0.5000  0.0000  8 Re 2.74, 4 W 2.87

The symmetry is P4/mmm, No. 123. As for the calculated total energy: -35.85 eV/f.u. For the energy of formation from the pure elements, the calculation gives 0.58 eV per atom. The calculation puts the total magnetization at 0.000 μB per formula unit.

---

Material: Na3Zn4Ga4
Method: DFT, PBE-GGA
State: optimized geometry

a b c (Å): 8.2857 8.2857 8.2857
angles (deg): 149.34 129.01 60.68
Last column: nearest neighbours and their distance in Å.
Atoms (fractional coordinates):
Na  0.0000  0.0000  0.0000  6 Zn 3.16-3.17, 8 Ga 3.54
Na  0.3756  0.8756  0.5000  6 Zn 3.10-3.11, 6 Ga 3.18-3.25
Na  0.6244  0.1244  0.5000  6 Zn 3.10-3.11, 6 Ga 3.18-3.25
Zn  0.2211  0.2211  0.0000  6 Ga 2.68-2.70
Zn  0.3210  0.5000  0.8210  1 Zn 2.55, 2 Ga 2.60
Zn  0.6790  0.5000  0.1790  1 Zn 2.55, 2 Ga 2.60
Zn  0.7789  0.7789  0.0000  6 Ga 2.68-2.70
Ga  0.0211  0.3305  0.6906  4 Zn 2.60-2.70, 1 Ga 2.72
Ga  0.3602  0.6695  0.6906  4 Zn 2.60-2.70, 1 Ga 2.72
Ga  0.6398  0.3305  0.3094  4 Zn 2.60-2.70, 1 Ga 2.72
Ga  0.9789  0.6695  0.3094  4 Zn 2.60-2.70, 1 Ga 2.72

The symmetry is Immm, No. 71. As for the calculated total energy: -21.79 eV/f.u. For the energy of formation from the pure elements, the calculation gives -0.06 eV per atom. The calculation puts the total magnetization at 0.000 μB per formula unit.

---

Material: LiAu
Method: DFT, PBE-GGA
State: optimized geometry

a b c (Å): 7.2608 7.2608 7.2608
angles (deg): 90.00 90.00 90.00
Last column: nearest neighbours and their distance in Å.
Atoms (fractional coordinates):
Li  0.0000  0.2500  0.5000  4 Au 2.57
Li  0.0000  0.7500  0.5000  4 Au 2.57
Li  0.2500  0.5000  0.0000  4 Au 2.57
Li  0.5000  0.0000  0.2500  4 Au 2.57
Li  0.5000  0.0000  0.7500  4 Au 2.57
Li  0.7500  0.5000  0.0000  4 Au 2.57
Au  0.0000  0.5000  0.2500  4 Li 2.57
Au  0.0000  0.5000  0.7500  4 Li 2.57
Au  0.2500  0.0000  0.5000  4 Li 2.57
Au  0.5000  0.2500  0.0000  4 Li 2.57
Au  0.5000  0.7500  0.0000  4 Li 2.57
Au  0.7500  0.0000  0.5000  4 Li 2.57

The symmetry is Pm-3n, No. 223. As for the calculated total energy: -5.32 eV/f.u. For the energy of formation from the pure elements, the calculation gives -0.06 eV per atom. The calculation puts the total magnetization at 0.000 μB per formula unit.

---

Material: SrLaSc3
Method: DFT, PBE-GGA
State: optimized geometry

a b c (Å): 5.4620 5.4620 5.4620
angles (deg): 90.00 90.00 90.00
Last column: nearest neighbours and their distance in Å.
Atoms (fractional coordinates):
Sr  0.0000  0.0000  0.0000  12 Sc 3.86
La  0.5000  0.5000  0.5000  6 Sc 2.73
Sc  0.0000  0.5000  0.5000  2 La 2.73
Sc  0.5000  0.0000  0.5000  2 La 2.73
Sc  0.5000  0.5000  0.0000  2 La 2.73

As for the relative energy among the computed polymorphs: 0.000 eV/atom. The symmetry is Pm-3m, No. 221. As for the calculated total energy: -22.54 eV/f.u. For the energy of formation from the pure elements, the calculation gives 0.61 eV per atom. The calculation puts the total magnetization at 0.000 μB per formula unit.

---

Material: LiLa2Tl
Method: DFT, PBE-GGA
State: optimized geometry

a b c (Å): 5.4524 5.4524 5.4524
angles (deg): 60.00 60.00 60.00
Last column: nearest neighbours and their distance in Å.
Atoms (fractional coordinates):
Li  0.0000  0.0000  0.0000  4 Tl 3.34, 4 La 3.34
La  0.2500  0.2500  0.2500  4 La 3.34, 4 Li 3.34
La  0.5000  0.5000  0.5000  4 Tl 3.34, 4 La 3.34
Tl  0.7500  0.7500  0.7500  4 La 3.34, 4 Li 3.34

The symmetry is F-43m, No. 216. As for the calculated total energy: -14.20 eV/f.u. For the energy of formation from the pure elements, the calculation gives -0.02 eV per atom. The calculation puts the total magnetization at 1.884 μB per formula unit.

---

Material: SrDyY2
Method: DFT, PBE-GGA
State: optimized geometry

a b c (Å): 3.6884 3.6884 10.6088
angles (deg): 90.00 90.00 90.00
Last column: nearest neighbours and their distance in Å.
Atoms (fractional coordinates):
Sr  0.0000  0.0000  0.0000  4 Sr 3.69, 8 Y 3.95
Dy  0.0000  0.0000  0.5000  8 Y 3.50, 4 Dy 3.69
Y  0.5000  0.5000  0.2799  4 Dy 3.50, 4 Y 3.69
Y  0.5000  0.5000  0.7201  4 Dy 3.50, 4 Y 3.69

As for the relative energy among the computed polymorphs: 0.000 eV/atom. The symmetry is P4/mmm, No. 123. As for the calculated total energy: -18.73 eV/f.u. For the energy of formation from the pure elements, the calculation gives 0.12 eV per atom. The calculation puts the total magnetization at 0.001 μB per formula unit.

---

Material: MnOsS3
Method: DFT, PBE-GGA
State: optimized geometry

a b c (Å): 4.6328 4.6328 4.6328
angles (deg): 90.00 90.00 90.00
Last column: nearest neighbours and their distance in Å.
Atoms (fractional coordinates):
Mn  0.0000  0.0000  0.0000  12 S 3.28
Os  0.5000  0.5000  0.5000  6 S 2.32
S  0.0000  0.5000  0.5000  2 Os 2.32
S  0.5000  0.0000  0.5000  2 Os 2.32
S  0.5000  0.5000  0.0000  2 Os 2.32

As for the relative energy among the computed polymorphs: 0.000 eV/atom. The symmetry is Pm-3m, No. 221. As for the calculated total energy: -29.62 eV/f.u. For the energy relative to the elements, uncorrected, the calculation gives 0.633 eV/atom. The calculation puts the total magnetization at 4.135 μB per formula unit.

---

Material: CuHgTe2
Method: DFT, PBE-GGA
State: optimized geometry

a b c (Å): 3.8543 3.8543 7.2645
angles (deg): 90.00 90.00 90.00
Last column: nearest neighbours and their distance in Å.
Atoms (fractional coordinates):
Cu  0.0000  0.0000  0.0000  5 Te 2.61-2.78
Hg  0.5000  0.5000  0.4674  5 Te 2.83-3.00
Te  0.0000  0.0000  0.6403  1 Cu 2.61
Te  0.5000  0.5000  0.0781  4 Cu 2.78, 1 Hg 2.83

The symmetry is P4mm, No. 99. As for the calculated total energy: -10.45 eV/f.u. For the energy relative to the elements, uncorrected, the calculation gives 0.058 eV/atom. The calculation puts the total magnetization at 0.000 μB per formula unit.